First-principles (PBE-GGA) data for Ba2TcTe after structural relaxation, as listed in Alexandria.

Summary:
Crystal system: orthorhombic
Offset from the most stable computed form: 0.2281 eV per atom
Formation energy without anion corrections: 0.1070 eV per atom
M_tot: 3.0 μB/f.u.
Final energy: -16.93 eV for the cell shown

abc: 4.896 4.908 6.971
angles: 90.00 90.00 90.00
Element x y z (fractional)
Ba 0.000 0.000 0.000
Ba 0.500 0.500 0.494
Tc 0.000 0.000 0.500
Te 0.500 0.500 0.994